(1)
PmSbI | PBE | relaxed

The structure belongs to space group R3m (No. 160, hexagonal axes); the cell edges are 5.3767, 5.3767 and 13.1093 Å and the angles 90.00°, 90.00° and 120.00°. The distinct sites, in fractional coordinates, are Pm at (0.0000, 0.0000, 0.0000), Sb at (0.0000, 0.0000, 0.7495) and I at (0.0000, 0.0000, 0.2505).

Its uncorrected energy is -4.10 eV/atom. Its total magnetization is 0.00 μB/cell. As for the distance to the lowest polymorph of the same formula: 272 meV/atom.


(2)
Mg3GaBi2 | PBE | relaxed

The structure belongs to space group P-1 (No. 2); the cell edges are 4.055, 4.778 and 8.327 Å and the angles 73.74°, 79.14° and 89.95°. The distinct sites, in fractional coordinates, are Mg at (0.000, 0.000, 0.000), Mg at (0.137, 0.645, 0.698), Ga at (0.500, 0.500, 0.000) and Bi at (0.355, 0.853, 0.305).

Its uncorrected energy is -2.72 eV/atom. The formation energy is -0.12 eV/atom. Its total magnetization is 0.00 μB/cell.


(3)
LiNdAgSb | PBE | relaxed

The structure belongs to space group F-43m (No. 216); the cell edges are 7.288, 7.288 and 7.288 Å and the angles 90.00°, 90.00° and 90.00°. The distinct sites, in fractional coordinates, are Li at (0.000, 0.000, 0.000), Nd at (0.000, 0.000, 0.500), Ag at (0.250, 0.250, 0.750) and Sb at (0.250, 0.250, 0.250).

Its uncorrected energy is -3.95 eV/atom. Its total magnetization is 0.00 μB/cell.


(4)
PrAl12Au4 | PBE | relaxed

The structure belongs to space group Im-3 (No. 204); the cell edges are 8.932, 8.932 and 8.932 Å and the angles 90.00°, 90.00° and 90.00°. The distinct sites, in fractional coordinates, are Pr at (0.000, 0.000, 0.000), Al at (0.000, 0.154, 0.350) and Au at (0.250, 0.250, 0.250).

Its uncorrected energy is -3.81 eV/atom. The formation energy is -0.11 eV/atom. Its total magnetization is 0.00 μB/cell.


(5)
Pr5Dy5Mg2 | PBE | relaxed

The structure belongs to space group C2/m (No. 12); the cell edges are 15.311, 5.103 and 11.120 Å and the angles 90.00°, 117.25° and 90.00°. The distinct sites, in fractional coordinates, are Pr at (0.000, 0.000, 0.000), Pr at (0.080, 0.000, 0.744), Pr at (0.249, 0.500, 0.740), Dy at (0.000, 0.500, 0.500), Dy at (0.086, 0.500, 0.260), Dy at (0.167, 0.500, 0.998) and Mg at (0.167, 0.000, 0.499).

Its uncorrected energy is -4.16 eV/atom. The formation energy is 0.01 eV/atom. Its total magnetization is 0.00 μB/cell.


(6)
Mg2Ag9Sn | PBE | relaxed

The structure belongs to space group P4/mmm (No. 123); the cell edges are 4.152, 4.152 and 12.864 Å and the angles 90.00°, 90.00° and 90.00°. The distinct sites, in fractional coordinates, are Mg at (0.000, 0.000, 0.164), Ag at (0.000, 0.500, 0.000), Ag at (0.000, 0.500, 0.326), Ag at (0.500, 0.500, 0.164), Ag at (0.500, 0.500, 0.500) and Sn at (0.000, 0.000, 0.500).

Its uncorrected energy is -2.83 eV/atom. The formation energy is -0.09 eV/atom. Its total magnetization is 0.00 μB/cell.


(7)
CaTbTm2 | PBE | relaxed

The structure belongs to space group R-3m (No. 166, hexagonal axes); the cell edges are 3.5213, 3.5213 and 37.2069 Å and the angles 90.00°, 90.00° and 120.00°. The distinct sites, in fractional coordinates, are Ca at (0.0000, 0.0000, 0.0000), Tb at (0.0000, 0.0000, 0.5000) and Tm at (0.0000, 0.0000, 0.0910).

Its uncorrected energy is -3.72 eV/atom. The formation energy is 0.17 eV/atom. Its total magnetization is 0.00 μB/cell. As for the distance to the lowest polymorph of the same formula: 98 meV/atom.


(8)
Rb4Bi2Sb2Au | PBE | relaxed

The structure belongs to space group C2/m (No. 12); the cell edges are 14.345, 6.906 and 7.221 Å and the angles 90.00°, 109.42° and 90.00°. The distinct sites, in fractional coordinates, are Rb at (0.121, 0.246, 0.258), Bi at (0.139, 0.000, 0.778), Sb at (0.160, 0.500, 0.825) and Au at (0.000, 0.500, 0.500).

Its uncorrected energy is -2.79 eV/atom. Its total magnetization is 0.00 μB/cell.


(9)
TiTcBiW2 | PBE | relaxed

The structure belongs to space group P4/mmm (No. 123); the cell edges are 4.808, 4.808 and 4.710 Å and the angles 90.00°, 90.00° and 90.00°. The distinct sites, in fractional coordinates, are Ti at (0.000, 0.000, 0.000), Tc at (0.000, 0.000, 0.500), Bi at (0.500, 0.500, 0.000) and W at (0.000, 0.500, 0.500).

Its uncorrected energy is -8.35 eV/atom. The formation energy is 1.26 eV/atom. Its total magnetization is 0.00 μB/cell.


(10)
CrSi2S6 | PBE | relaxed

The structure belongs to space group C2/c (No. 15); the cell edges are 11.495, 10.333 and 6.147 Å and the angles 90.00°, 101.42° and 90.00°. The distinct sites, in fractional coordinates, are Cr at (0.000, 0.111, 0.250), Si at (0.202, 0.418, 0.333), S at (0.107, 0.080, 0.622), S at (0.130, 0.418, 0.631) and S at (0.134, 0.250, 0.147).

Its uncorrected energy is -5.49 eV/atom. Its total magnetization is 7.95 μB/cell.


(11)
Hf3Zr5Tl | PBE | relaxed

The structure belongs to space group C2/m (No. 12); the cell edges are 11.775, 7.165 and 10.726 Å and the angles 90.00°, 93.13° and 90.00°. The distinct sites, in fractional coordinates, are Hf at (0.000, 0.000, 0.000), Hf at (0.000, 0.000, 0.500), Hf at (0.150, 0.500, 0.212), Hf at (0.240, 0.500, 0.481), Zr at (0.000, 0.332, 0.000), Zr at (0.015, 0.500, 0.620), Zr at (0.138, 0.211, 0.760), Zr at (0.239, 0.000, 0.019) and Tl at (0.118, 0.000, 0.265).

Its uncorrected energy is -7.70 eV/atom. The formation energy is 0.63 eV/atom. Its total magnetization is 0.00 μB/cell.


(12)
Tb9Ho11Sc4 | PBE | relaxed

The structure belongs to space group Cmmm (No. 65); the cell edges are 16.454, 24.892 and 3.585 Å and the angles 90.00°, 90.00° and 90.00°. The distinct sites, in fractional coordinates, are Tb at (0.000, 0.000, 0.000), Tb at (0.103, 0.231, 0.000), Tb at (0.145, 0.427, 0.000), Ho at (0.000, 0.130, 0.500), Ho at (0.000, 0.340, 0.500), Ho at (0.000, 0.500, 0.500), Ho at (0.202, 0.000, 0.500), Ho at (0.227, 0.320, 0.500) and Sc at (0.156, 0.102, 0.000).

Its uncorrected energy is -4.84 eV/atom. The formation energy is 0.04 eV/atom. Its total magnetization is 0.00 μB/cell.